First-principles (PBE) data for an optimized crystal structure of B2P2S7, as listed in Alexandria via LeMat-Bulk.

Geometry as extended XYZ:
```
11
Lattice="7.1029 0.7240 0.9441 -0.2527 6.0690 -0.0347 -0.2527 -1.6073 5.8524" Properties=species:S:1:pos:R:3 pbc="T T T"
S 1.4770 4.8742 3.6056
S 5.1205 2.9675 1.1193
S 2.2389 1.8736 2.4430
S 0.0000 0.0000 0.0000
S 4.3586 3.3122 4.3188
S 1.4770 2.2183 5.6425
S 5.1205 0.3115 3.1562
B 5.5904 1.3920 1.8150
B 1.0071 3.7938 4.9468
P 3.2988 1.4649 4.2460
P 3.2988 3.7209 2.5158
```

## Properties
crystal system: monoclinic
energy relative to the elements, uncorrected: 0.036 eV per atom
V: 23.2 Å³/atom